(1)
The following is a DFT calculation (PBE-GGA) of an optimized crystal structure of HfTaTi2Bi.

Structure (CIF):
```
data_HfTaTi2Bi
_chemical_formula_sum 'Hf1 Ta1 Ti2 Bi1'
_space_group_name_H-M_alt 'P 4/m m m'
_space_group_IT_number 123
_space_group_name_Hall '-P 4 2'
_cell_length_a 4.985
_cell_length_b 4.985
_cell_length_c 5.192
_cell_angle_alpha 90.00
_cell_angle_beta 90.00
_cell_angle_gamma 90.00
loop_
_atom_site_label
_atom_site_fract_x
_atom_site_fract_y
_atom_site_fract_z
Hf1 0.000 0.000 0.000
Ta1 0.500 0.500 0.000
Ti1 0.000 0.500 0.500
Bi1 0.500 0.500 0.500
```

V (A^3/atom): 25.8
DFT formation energy (eV per formula unit): 7.1

(2)
The following is a DFT calculation (PBE-GGA) of an optimized crystal structure of DyHo3Er2.

Structure (CIF):
```
data_DyHo3Er2
_chemical_formula_sum 'Dy2 Ho6 Er4'
_space_group_name_H-M_alt 'P -1'
_space_group_IT_number 2
_cell_length_a 7.087
_cell_length_b 7.088
_cell_length_c 8.708
_cell_angle_alpha 90.04
_cell_angle_beta 101.71
_cell_angle_gamma 119.96
loop_
_space_group_symop_operation_xyz
'x,y,z'
'-x,-y,-z'
loop_
_atom_site_label
_atom_site_fract_x
_atom_site_fract_y
_atom_site_fract_z
Dy1 0.000 0.250 0.000
Ho1 0.222 0.361 0.666
Ho2 0.278 0.639 0.335
Ho3 0.500 0.250 0.000
Er1 0.222 0.861 0.666
Er2 0.278 0.139 0.334
```

V (A^3/atom): 30.7
DFT formation energy (eV per formula unit): 0.0

(3)
The following is a DFT calculation (PBE-GGA) of an optimized crystal structure of Bi2O3.

Structure (CIF):
```
data_Bi2O3
_chemical_formula_sum 'Bi12 O18'
_space_group_name_H-M_alt 'R 3 m'
_space_group_IT_number 160
_space_group_name_Hall 'R 3 -2"'
_cell_length_a 8.1065
_cell_length_b 8.1065
_cell_length_c 10.2574
_cell_angle_alpha 90.00
_cell_angle_beta 90.00
_cell_angle_gamma 120.00
loop_
_atom_site_label
_atom_site_fract_x
_atom_site_fract_y
_atom_site_fract_z
Bi1 0.0000 0.0000 0.0000
Bi2 0.0060 0.5030 0.0246
O1 0.2013 0.4026 0.5619
O2 0.2023 0.4047 0.0634
```

V (A^3/atom): 19.5
Raw total energy (eV per atom): -5.6602

(4)
The following is a DFT calculation (PBE-GGA) of an optimized crystal structure of TbCeInGe.

Structure (CIF):
```
data_TbCeInGe
_chemical_formula_sum 'Tb4 Ce4 In4 Ge4'
_space_group_name_H-M_alt 'F -4 3 m'
_space_group_IT_number 216
_space_group_name_Hall 'F -4 2 3'
_cell_length_a 7.440
_cell_length_b 7.440
_cell_length_c 7.440
_cell_angle_alpha 90.00
_cell_angle_beta 90.00
_cell_angle_gamma 90.00
loop_
_atom_site_label
_atom_site_fract_x
_atom_site_fract_y
_atom_site_fract_z
Tb1 0.000 0.000 0.000
Ce1 0.000 0.000 0.500
In1 0.250 0.250 0.250
Ge1 0.250 0.250 0.750
```

V (A^3/atom): 25.7
DFT formation energy (eV per formula unit): -1.8

(5)
The following is a DFT calculation (PBE-GGA) of an optimized crystal structure of Sm2AlBr.

Structure (CIF):
```
data_Sm2AlBr
_chemical_formula_sum 'Sm6 Al3 Br3'
_space_group_name_H-M_alt 'R -3 m'
_space_group_IT_number 166
_space_group_name_Hall '-R 3 2"'
_cell_length_a 3.8249
_cell_length_b 3.8249
_cell_length_c 26.1449
_cell_angle_alpha 90.00
_cell_angle_beta 90.00
_cell_angle_gamma 120.00
loop_
_atom_site_label
_atom_site_fract_x
_atom_site_fract_y
_atom_site_fract_z
Sm1 0.0000 0.0000 0.2454
Al1 0.0000 0.0000 0.5000
Br1 0.0000 0.0000 0.0000
```

V (A^3/atom): 27.6
Raw total energy (eV per atom): -4.4058

(6)
The following is a DFT calculation (PBE-GGA) of an optimized crystal structure of ZnCuAg2Au2.

Structure (CIF):
```
data_ZnCuAg2Au2
_chemical_formula_sum 'Zn2 Cu2 Ag4 Au4'
_space_group_name_H-M_alt 'P m c 21'
_space_group_IT_number 26
_cell_length_a 3.901
_cell_length_b 8.820
_cell_length_c 5.762
_cell_angle_alpha 90.00
_cell_angle_beta 90.00
_cell_angle_gamma 90.00
loop_
_space_group_symop_operation_xyz
'x,y,z'
'-x,-y,z+1/2'
'-x,y,z'
'x,-y,z+1/2'
loop_
_atom_site_label
_atom_site_fract_x
_atom_site_fract_y
_atom_site_fract_z
Zn1 0.000 0.164 0.000
Cu1 0.500 0.000 0.250
Ag1 0.000 0.498 0.991
Ag2 0.500 0.321 0.740
Au1 0.000 0.136 0.503
Au2 0.500 0.315 0.239
```

V (A^3/atom): 16.5
DFT formation energy (eV per formula unit): -0.5

(7)
The following is a DFT calculation (PBE-GGA) of an optimized crystal structure of BaNi2I2.

Structure (CIF):
```
data_BaNi2I2
_chemical_formula_sum 'Ba2 Ni4 I4'
_space_group_name_H-M_alt 'I 4/m m m'
_space_group_IT_number 139
_space_group_name_Hall '-I 4 2'
_cell_length_a 5.136
_cell_length_b 5.136
_cell_length_c 9.862
_cell_angle_alpha 90.00
_cell_angle_beta 90.00
_cell_angle_gamma 90.00
loop_
_atom_site_label
_atom_site_fract_x
_atom_site_fract_y
_atom_site_fract_z
Ba1 0.000 0.000 0.000
Ni1 0.000 0.000 0.379
I1 0.000 0.500 0.250
```

V (A^3/atom): 26.0
Raw total energy (eV per atom): -3.4630

(8)
The following is a DFT calculation (PBE-GGA) of an optimized crystal structure of Ce3Ge.

Structure (CIF):
```
data_Ce3Ge
_chemical_formula_sum 'Ce3 Ge1'
_space_group_name_H-M_alt 'P m -3 m'
_space_group_IT_number 221
_space_group_name_Hall '-P 4 2 3'
_cell_length_a 4.607
_cell_length_b 4.607
_cell_length_c 4.607
_cell_angle_alpha 90.00
_cell_angle_beta 90.00
_cell_angle_gamma 90.00
loop_
_atom_site_label
_atom_site_fract_x
_atom_site_fract_y
_atom_site_fract_z
Ce1 0.000 0.000 0.500
Ge1 0.500 0.500 0.500
```

V (A^3/atom): 24.4
DFT formation energy (eV per formula unit): -1.6

(9)
The following is a DFT calculation (PBE-GGA) of an optimized crystal structure of Sr3TlCd.

Structure (CIF):
```
data_Sr3TlCd
_chemical_formula_sum 'Sr6 Tl2 Cd2'
_space_group_name_H-M_alt 'P 1 m 1'
_space_group_IT_number 6
_cell_length_a 9.372
_cell_length_b 4.252
_cell_length_c 10.958
_cell_angle_alpha 90.00
_cell_angle_beta 113.02
_cell_angle_gamma 90.00
loop_
_space_group_symop_operation_xyz
'x,y,z'
'x,-y,z'
loop_
_atom_site_label
_atom_site_fract_x
_atom_site_fract_y
_atom_site_fract_z
Sr1 0.000 0.000 0.000
Sr2 0.026 0.500 0.355
Sr3 0.424 0.000 0.421
Sr4 0.523 0.000 0.070
Sr5 0.587 0.500 0.767
Sr6 0.888 0.000 0.613
Tl1 0.271 0.000 0.662
Tl2 0.287 0.500 0.165
Cd1 0.181 0.500 0.842
Cd2 0.664 0.500 0.353
```

V (A^3/atom): 40.2
DFT formation energy (eV per formula unit): -1.1

(10)
The following is a DFT calculation (PBE-GGA) of an optimized crystal structure of TlIn4Ag.

Structure (CIF):
```
data_TlIn4Ag
_chemical_formula_sum 'Tl2 In8 Ag2'
_space_group_name_H-M_alt 'P m m a'
_space_group_IT_number 51
_cell_length_a 9.283
_cell_length_b 4.401
_cell_length_c 7.801
_cell_angle_alpha 90.00
_cell_angle_beta 90.00
_cell_angle_gamma 90.00
loop_
_space_group_symop_operation_xyz
'x,y,z'
'-x,-y,-z'
'-x+1/2,-y,z'
'x+1/2,y,-z'
'x+1/2,-y,-z'
'-x+1/2,y,z'
'-x,y,-z'
'x,-y,z'
loop_
_atom_site_label
_atom_site_fract_x
_atom_site_fract_y
_atom_site_fract_z
Tl1 0.250 0.000 0.103
In1 0.000 0.000 0.500
In2 0.050 0.500 0.812
In3 0.250 0.500 0.422
Ag1 0.250 0.000 0.714
```

V (A^3/atom): 26.6
DFT formation energy (eV per formula unit): 0.1

(11)
The following is a DFT calculation (PBE-GGA) of an optimized crystal structure of Dy2ErNi.

Structure (CIF):
```
data_Dy2ErNi
_chemical_formula_sum 'Dy8 Er4 Ni4'
_space_group_name_H-M_alt 'C m c m'
_space_group_IT_number 63
_space_group_name_Hall '-C 2c 2'
_cell_length_a 3.629
_cell_length_b 11.860
_cell_length_c 9.512
_cell_angle_alpha 90.00
_cell_angle_beta 90.00
_cell_angle_gamma 90.00
loop_
_atom_site_label
_atom_site_fract_x
_atom_site_fract_y
_atom_site_fract_z
Dy1 0.000 0.136 0.069
Er1 0.000 0.418 0.250
Ni1 0.000 0.263 0.750
```

V (A^3/atom): 25.6
DFT formation energy (eV per formula unit): -0.9

(12)
The following is a DFT calculation (PBE-GGA) of an optimized crystal structure of BaMg2Ga2.

Structure (CIF):
```
data_BaMg2Ga2
_chemical_formula_sum 'Ba2 Mg4 Ga4'
_space_group_name_H-M_alt 'P 4/m b m'
_space_group_IT_number 127
_space_group_name_Hall '-P 4 2ab'
_cell_length_a 8.737
_cell_length_b 8.737
_cell_length_c 3.173
_cell_angle_alpha 90.00
_cell_angle_beta 90.00
_cell_angle_gamma 90.00
loop_
_atom_site_label
_atom_site_fract_x
_atom_site_fract_y
_atom_site_fract_z
Ba1 0.000 0.000 0.000
Mg1 0.124 0.376 0.000
Ga1 0.165 0.665 0.500
```

V (A^3/atom): 24.2
DFT formation energy (eV per formula unit): -0.8

What did the first record say?
The following is a DFT calculation (PBE-GGA) of an optimized crystal structure of HfTaTi2Bi.

Structure (CIF):
```
data_HfTaTi2Bi
_chemical_formula_sum 'Hf1 Ta1 Ti2 Bi1'
_space_group_name_H-M_alt 'P 4/m m m'
_space_group_IT_number 123
_space_group_name_Hall '-P 4 2'
_cell_length_a 4.985
_cell_length_b 4.985
_cell_length_c 5.192
_cell_angle_alpha 90.00
_cell_angle_beta 90.00
_cell_angle_gamma 90.00
loop_
_atom_site_label
_atom_site_fract_x
_atom_site_fract_y
_atom_site_fract_z
Hf1 0.000 0.000 0.000
Ta1 0.500 0.500 0.000
Ti1 0.000 0.500 0.500
Bi1 0.500 0.500 0.500
```

V (A^3/atom): 25.8
DFT formation energy (eV per formula unit): 7.1